Record 1
A relaxed structure of Mn2PbCl8, computed with GGA-PBE.

Geometry as CIF:
```
data_Mn2PbCl8
_space_group_name_H-M_alt 'P 1'
_space_group_IT_number 1
_space_group_name_Hall 'P 1'
_cell_length_a 7.575
_cell_length_b 7.575
_cell_length_c 6.875
_cell_angle_alpha 93.20
_cell_angle_beta 93.20
_cell_angle_gamma 62.00
loop_
_atom_site_label
_atom_site_type_symbol
_atom_site_fract_x
_atom_site_fract_y
_atom_site_fract_z
_atom_site_occupancy
Mn1 Mn 0.173 0.173 0.374 1
Mn2 Mn 0.827 0.827 0.626 1
Pb1 Pb 0.500 0.500 0.500 1
Cl1 Cl 0.114 0.114 0.662 1
Cl2 Cl 0.139 0.605 0.719 1
Cl3 Cl 0.321 0.321 0.217 1
Cl4 Cl 0.395 0.861 0.281 1
Cl5 Cl 0.605 0.139 0.719 1
Cl6 Cl 0.679 0.679 0.783 1
Cl7 Cl 0.861 0.395 0.281 1
Cl8 Cl 0.886 0.886 0.338 1
```

---

Record 2
A relaxed structure of Y2SbO, computed with GGA-PBE.

Computed properties:
* relative energy among the computed polymorphs: 167.2 meV/atom
* DOS at the Fermi energy: 2.467 states/eV/cell

Geometry as CIF:
```
data_Y2SbO
_space_group_name_H-M_alt 'P 1'
_space_group_IT_number 1
_space_group_name_Hall 'P 1'
_cell_length_a 7.279
_cell_length_b 7.279
_cell_length_c 7.279
_cell_angle_alpha 29.69
_cell_angle_beta 29.69
_cell_angle_gamma 29.69
loop_
_atom_site_label
_atom_site_type_symbol
_atom_site_fract_x
_atom_site_fract_y
_atom_site_fract_z
_atom_site_occupancy
Y1 Y 0.228 0.228 0.228 1
Y2 Y 0.772 0.772 0.772 1
Sb1 Sb 0.000 0.000 0.000 1
O1 O 0.500 0.500 0.500 1
```

---

| no. | size of the total moment (μB per formula unit) | formation energy without anion corrections (eV/atom) |
| --- | --- | --- |
| 1 | 8.000 | -0.943 |
| 2 | 0.000 | -1.700 |